Here is a geometry-optimized K2SrSiN structure from Alexandria via LeMat-Bulk. Energies are from PBE.

abc: 6.4268 6.0019 6.4268
angles: 90.00 90.00 90.00
Closest atoms and distances in Å follow each position.
Positions (direct):
Sr 0.0000 0.5000 0.0000  2 Si 3.00
K 0.0000 0.0000 0.5000  2 Si 3.21
K 0.5000 0.0000 0.0000  2 Si 3.21
Si 0.0000 0.0000 0.0000  2 Sr 3.00, 4 K 3.21
N 0.5000 0.5000 0.5000  8 K 4.40, 4 Sr 4.54

Results
Formation energy (no corrections): 1031.5 meV per atom
Offset from the most stable computed form: 0.512 eV/atom